Density functional theory data (PBE) for crystalline ScCdSi2 at its relaxed geometry.

Calculated values
SG = No. 123
crystal system = tetragonal

a = 3.6244 Å, b = 3.6244 Å, c = 5.9933 Å
α = 90.00°, β = 90.00°, γ = 90.00°
Fractional positions:
Sc  0.5000  0.5000  0.7500
Cd  0.5000  0.5000  0.2500
Si  0.0000  0.0000  0.5511
Si  0.0000  0.0000  0.9489

=====

Density functional theory data (PBE) for crystalline ScCd2Si2 at its relaxed geometry.

Calculated values
energy relative to the lowest polymorph listed for this composition = 0.0 meV/atom
SG = No. 127
crystal system = tetragonal

a = 6.9972 Å, b = 6.9972 Å, c = 4.1507 Å
α = 90.00°, β = 90.00°, γ = 90.00°
Fractional positions:
Sc  0.5000  0.5000  0.0000
Sc  0.0000  0.0000  0.0000
Cd  0.3151  0.1849  0.5000
Si  0.1201  0.3799  0.0000
Si  0.3799  0.8799  0.0000
Si  0.8799  0.6201  0.0000
Si  0.6201  0.1201  0.0000
Cd  0.8151  0.3151  0.5000
Cd  0.1849  0.6849  0.5000
Cd  0.6849  0.8151  0.5000

=====

Record order is preserved below.
Raw formation energy: -0.0599; -0.0010 eV/atom
Record order is preserved below.
Raw total energy: -4.583; -3.803 eV per atom